# Sr3Au | Alexandria via LeMat-Bulk | GGA-PBEsol | relaxed
data_Sr3Au
_chemical_formula_sum 'Sr6 Au2'
_space_group_name_H-M_alt 'P m m n'
_space_group_IT_number 59
_cell_length_a 4.118
_cell_length_b 7.515
_cell_length_c 10.503
_cell_angle_alpha 90.00
_cell_angle_beta 90.00
_cell_angle_gamma 90.00
loop_
_space_group_symop_operation_xyz
'x,y,z'
'-x,-y,-z'
'-x+1/2,-y+1/2,z'
'x+1/2,y+1/2,-z'
'x+1/2,-y,-z'
'-x+1/2,y,z'
'-x,y+1/2,-z'
'x,-y+1/2,z'
loop_
_atom_site_label
_atom_site_type_symbol
_atom_site_fract_x
_atom_site_fract_y
_atom_site_fract_z
Sr1 Sr 0.250 0.007 0.169
Sr2 Sr 0.250 0.250 0.535
Au1 Au 0.250 0.750 0.685
# Density of states at the Fermi level (states/eV/atom): 0.89
# DFT formation energy (eV per atom): -0.3241
# Crystal system: orthorhombic